Record 1
A relaxed K2SrAu crystal, computed with GGA-PBE.

Total moment in μB/cell: 0.00
Energy in eV/atom: -2.064
Symmetry: Pm, No. 6
E_form in kJ/mol of formula units: -106
Offset from the most stable computed form in eV/f.u.: 0.00

Structure (POSCAR):
```
K2SrAu
1.0
4.302 0.000 0.000
0.000 4.554 0.010
0.000 2.217 10.031
Au K Sr
1 2 1
Direct
0.500 0.984 0.656
0.000 0.844 0.943
0.500 0.161 0.298
0.000 0.511 0.602
```

Record 2
A relaxed Tb6Y3Tl crystal, computed with GGA-PBE.

Total moment in μB/cell: 0.00
Energy in eV/atom: -4.925
Symmetry: Cmc2_1, No. 36
E_form in kJ/mol of formula units: 28
Offset from the most stable computed form in eV/f.u.: 0.72

Structure (POSCAR):
```
Tb6Y3Tl
1.0
-5.453 0.251 -3.111
5.384 -2.523 -9.640
-4.660 -6.982 7.603
Tb Y Tl
12 6 2
Direct
0.054 0.739 0.627
0.554 0.627 0.739
0.342 0.465 0.899
0.842 0.899 0.465
0.313 0.983 0.017
0.786 0.287 0.713
0.286 0.713 0.287
0.813 0.017 0.983
0.342 0.101 0.535
0.842 0.535 0.101
0.054 0.373 0.261
0.554 0.261 0.373
0.486 0.958 0.703
0.986 0.703 0.958
0.081 0.414 0.586
0.581 0.586 0.414
0.986 0.042 0.297
0.486 0.297 0.042
0.043 0.152 0.848
0.543 0.848 0.152
```

Record 3
A relaxed YZnCr crystal, computed with GGA-PBE.

Total moment in μB/cell: 3.14
Energy in eV/atom: -5.636
Symmetry: I4mm, No. 107
E_form in kJ/mol of formula units: 44

Structure (POSCAR):
```
YZnCr
1.0
-3.473 -4.438 -1.177
-0.461 -5.153 -2.526
0.519 -2.325 2.392
Cr Y Zn
1 1 1
Direct
0.975 0.975 0.025
0.664 0.664 0.336
0.361 0.361 0.639
```

Record 4
A relaxed AlPtRh crystal, computed with GGA-PBE.

Total moment in μB/cell: 0.00
Energy in eV/atom: -6.101
Symmetry: P2/m, No. 10
E_form in kJ/mol of formula units: -113
Offset from the most stable computed form in eV/f.u.: 1.04

Structure (POSCAR):
```
AlPtRh
1.0
5.252 -0.592 0.976
2.690 3.121 0.111
-0.474 0.311 2.741
Al Pt Rh
1 1 1
Direct
0.000 0.500 0.000
0.500 0.500 0.000
0.000 0.000 0.500
```

Record 5
A relaxed PuAlBi2 crystal, computed with GGA-PBE.

Total moment in μB/cell: 5.43
Energy in eV/atom: -6.630
Symmetry: P4/mmm, No. 123
E_form in kJ/mol of formula units: -66

Structure (POSCAR):
```
PuAlBi2
1.0
4.521 0.000 0.000
0.000 4.840 0.000
0.000 0.000 4.840
Al Bi Pu
1 2 1
Direct
0.500 0.500 0.500
0.000 0.000 0.500
0.000 0.500 0.000
0.500 0.000 0.000
```

Record 6
A relaxed TcIrPt2O crystal, computed with GGA-PBE.

Formation energy without anion corrections in kcal/mol of atoms: 46.1
Total moment in μB/cell: 0.00
Energy in eV/atom: -5.255
Symmetry: P4/mmm, No. 123

Structure (POSCAR):
```
TcIrPt2O
1.0
-1.301 1.360 -4.391
2.623 -3.381 -1.824
-3.725 -2.986 0.179
O Ir Tc Pt
1 1 1 2
Direct
0.500 0.500 0.500
0.000 0.500 0.000
0.000 0.000 0.000
0.000 0.000 0.500
0.500 0.000 0.000
```

Record 7
A relaxed Ca2Ga4PtAu3 crystal, computed with GGA-PBE.

Total moment in μB/cell: 0.00
Energy in eV/atom: -3.824
Symmetry: P-4m2, No. 115
E_form in kJ/mol of formula units: -603

Structure (POSCAR):
```
Ca2Ga4PtAu3
1.0
4.234 0.000 0.000
0.000 4.234 0.000
0.000 0.000 11.375
Ca Ga Pt Au
2 4 1 3
Direct
0.500 0.000 0.256
0.000 0.500 0.744
0.500 0.500 0.000
0.000 0.000 0.000
0.500 0.000 0.630
0.000 0.500 0.370
0.500 0.500 0.500
0.000 0.000 0.500
0.500 0.000 0.855
0.000 0.500 0.145
```

Record 8
A relaxed La2TbDyTm2 crystal, computed with GGA-PBE.

Total moment in μB/cell: 0.00
Energy in eV/atom: -4.639
Symmetry: Pmc2_1, No. 26
E_form in kJ/mol of formula units: 19

Structure (POSCAR):
```
La2TbDyTm2
1.0
-1.338 -5.313 1.707
4.244 -2.376 -4.069
7.747 0.544 7.764
La Tb Dy Tm
4 2 2 4
Direct
0.500 0.175 0.083
0.000 0.341 0.251
0.500 0.675 0.917
0.000 0.841 0.749
0.500 0.177 0.745
0.500 0.677 0.255
0.000 0.839 0.419
0.000 0.339 0.581
0.000 0.342 0.913
0.500 0.171 0.421
0.000 0.842 0.087
0.500 0.671 0.579
```

Record 9
A relaxed Mg2Cu2Se3 crystal, computed with GGA-PBE.

Formation energy without anion corrections in kcal/mol of atoms: -15.2
Total moment in μB/cell: 0.00
Energy in eV/atom: -3.778
Symmetry: C2/m, No. 12
Offset from the most stable computed form in eV/f.u.: 0.00

Structure (POSCAR):
```
Mg2Cu2Se3
1.0
-7.168 2.867 -1.325
-7.687 -0.937 -1.174
-6.489 1.217 8.324
Mg Cu Se
4 4 6
Direct
0.750 0.750 0.659
0.250 0.250 0.341
0.631 0.631 0.015
0.369 0.369 0.985
0.966 0.966 0.290
0.034 0.034 0.710
0.555 0.555 0.353
0.445 0.445 0.647
0.875 0.875 0.158
0.125 0.125 0.842
0.850 0.850 0.821
0.150 0.150 0.179
0.629 0.629 0.523
0.371 0.371 0.477
```

Record 10
A relaxed ReAs crystal, computed with GGA-PBE.

Total moment in μB/cell: 0.00
Energy in eV/atom: -8.318
Symmetry: P-1, No. 2
E_form in kJ/mol of formula units: 45
Offset from the most stable computed form in eV/f.u.: 0.31

Structure (POSCAR):
```
ReAs
1.0
-2.904 -0.742 0.710
-1.892 -2.462 -3.569
-0.049 -5.018 1.415
Re As
2 2
Direct
0.677 0.427 0.230
0.323 0.573 0.770
0.934 0.832 0.310
0.066 0.168 0.690
```

Record 11
A relaxed LiLaMn2W crystal, computed with GGA-PBE.

Total moment in μB/cell: 7.48
Energy in eV/atom: -6.616
Symmetry: P4/mmm, No. 123
E_form in kJ/mol of formula units: 487

Structure (POSCAR):
```
LiLaMn2W
1.0
4.447 0.000 0.000
0.000 4.447 0.000
0.000 0.000 4.726
Mn Li W La
2 1 1 1
Direct
0.000 0.500 0.000
0.500 0.000 0.000
0.000 0.000 0.000
0.000 0.000 0.500
0.500 0.500 0.500
```

Record 12
A relaxed Pm4CdHg5 crystal, computed with GGA-PBE.

Total moment in μB/cell: 1.10
Energy in eV/atom: -2.546
Symmetry: P4/mmm, No. 123
E_form in kJ/mol of formula units: -389

Structure (POSCAR):
```
Pm4CdHg5
1.0
-0.062 2.140 -3.137
-2.756 -2.184 -1.436
-12.754 10.994 7.750
Pm Cd Hg
4 1 5
Direct
0.000 0.000 0.191
0.000 0.000 0.397
0.000 0.000 0.603
0.000 0.000 0.809
0.000 0.000 0.000
0.500 0.500 0.091
0.500 0.500 0.295
0.500 0.500 0.500
0.500 0.500 0.705
0.500 0.500 0.909
```

The highest total moment belongs to which entry?
LiLaMn2W

What did the tenth record say?
A relaxed ReAs crystal, computed with GGA-PBE.

Total moment in μB/cell: 0.00
Energy in eV/atom: -8.318
Symmetry: P-1, No. 2
E_form in kJ/mol of formula units: 45
Offset from the most stable computed form in eV/f.u.: 0.31

Structure (POSCAR):
```
ReAs
1.0
-2.904 -0.742 0.710
-1.892 -2.462 -3.569
-0.049 -5.018 1.415
Re As
2 2
Direct
0.677 0.427 0.230
0.323 0.573 0.770
0.934 0.832 0.310
0.066 0.168 0.690
```